A plane-wave DFT calculation with GGA-PBE was carried out for a relaxed Sr2As2S crystal.

abc: 7.9863 7.9863 4.6822
angles: 90.00 90.00 90.00
Closest atoms and distances in Å follow each position.
Positions (direct):
Sr (0.1875, 0.3125, 0.0000)  2 S 2.91
Sr (0.3125, 0.8125, 0.0000)  2 S 2.91
Sr (0.6875, 0.1875, 0.0000)  2 S 2.91
Sr (0.8125, 0.6875, 0.0000)  2 S 2.91
As (0.1036, 0.6036, 0.5000)  1 As 2.34
As (0.3964, 0.1036, 0.5000)  1 As 2.34
As (0.6036, 0.8964, 0.5000)  1 As 2.34
As (0.8964, 0.3964, 0.5000)  1 As 2.34
S (0.0000, 0.0000, 0.0000)  4 Sr 2.91
S (0.5000, 0.5000, 0.0000)  4 Sr 2.91

Results
raw total energy: -43.7 eV for the cell shown
formation energy (no corrections): -1.015 eV per atom
space group: P4/mbm
calculated volume: 29.9 Å³/atom


A plane-wave DFT calculation with GGA-PBE was carried out for a relaxed SrAsS2 crystal.

abc: 5.7488 5.7488 14.5239
angles: 90.00 90.00 90.00
Closest atoms and distances in Å follow each position.
Positions (direct):
Sr (0.0000, 0.0000, 0.0000)  4 S 2.92
Sr (0.0000, 0.5000, 0.2500)  4 S 2.92
Sr (0.5000, 0.0000, 0.7500)  4 S 2.92
Sr (0.5000, 0.5000, 0.5000)  4 S 2.92
As (0.0000, 0.0000, 0.5000)  4 S 2.56
As (0.0000, 0.5000, 0.7500)  4 S 2.56
As (0.5000, 0.0000, 0.2500)  4 S 2.56
As (0.5000, 0.5000, 0.0000)  4 S 2.56
S (0.1898, 0.2500, 0.6250)  2 As 2.56
S (0.2500, 0.6898, 0.8750)  2 As 2.56
S (0.2500, 0.8102, 0.3750)  2 As 2.56
S (0.3102, 0.2500, 0.1250)  2 As 2.56
S (0.6898, 0.7500, 0.1250)  2 As 2.56
S (0.7500, 0.1898, 0.3750)  2 As 2.56
S (0.7500, 0.3102, 0.8750)  2 As 2.56
S (0.8102, 0.7500, 0.6250)  2 As 2.56

Results
raw total energy: -69.7 eV for the cell shown
formation energy (no corrections): -0.709 eV per atom
space group: I-42d
calculated volume: 30.0 Å³/atom


A plane-wave DFT calculation with GGA-PBE was carried out for a relaxed SrTaAsS2 crystal.

abc: 5.1589 5.1589 4.8714
angles: 90.00 90.00 90.00
Closest atoms and distances in Å follow each position.
Positions (direct):
Sr (0.0000, 0.0000, 0.0000)  8 S 3.55, 4 Ta 3.65
Ta (0.5000, 0.5000, 0.0000)  2 As 2.44
As (0.5000, 0.5000, 0.5000)  2 Ta 2.44, 4 S 2.58
S (0.0000, 0.5000, 0.5000)  2 As 2.58
S (0.5000, 0.0000, 0.5000)  2 As 2.58

Results
raw total energy: -25.1 eV for the cell shown
formation energy (no corrections): 0.265 eV per atom
space group: P4/mmm
calculated volume: 25.9 Å³/atom


A plane-wave DFT calculation with GGA-PBE was carried out for a relaxed SrTmAs2S8 crystal.

abc: 6.1106 6.1106 9.1815
angles: 90.00 90.00 120.00
Closest atoms and distances in Å follow each position.
Positions (direct):
Sr (0.0000, 0.0000, 0.0000)  12 S 3.45-3.53
Tm (0.0000, 0.0000, 0.5000)  6 S 2.70
As (0.3333, 0.6667, 0.7558)  4 S 2.18-2.20
As (0.6667, 0.3333, 0.2442)  4 S 2.18-2.20
S (0.0187, 0.6792, 0.3049)  1 As 2.20
S (0.3208, 0.3396, 0.3049)  1 As 2.20
S (0.3333, 0.6667, 0.9929)  1 As 2.18
S (0.3396, 0.0187, 0.6951)  1 As 2.20
S (0.6604, 0.9813, 0.3049)  1 As 2.20
S (0.6667, 0.3333, 0.0071)  1 As 2.18
S (0.6792, 0.6604, 0.6951)  1 As 2.20
S (0.9813, 0.3208, 0.6951)  1 As 2.20

Results
raw total energy: -56.0 eV for the cell shown
formation energy (no corrections): -0.627 eV per atom
space group: P-3
calculated volume: 24.7 Å³/atom


A plane-wave DFT calculation with GGA-PBE was carried out for a relaxed Sr2YAsS crystal.

abc: 5.5704 5.5704 5.4850
angles: 90.00 90.00 90.00
Closest atoms and distances in Å follow each position.
Positions (direct):
Sr (0.0000, 0.5000, 0.0000)  2 S 2.79
Sr (0.5000, 0.0000, 0.0000)  2 S 2.79
Y (0.0000, 0.0000, 0.5000)  8 Sr 3.91, 4 As 3.94
As (0.5000, 0.5000, 0.5000)  2 S 2.74
S (0.5000, 0.5000, 0.0000)  2 As 2.74, 4 Sr 2.79

Results
raw total energy: -20.2 eV for the cell shown
formation energy (no corrections): -0.323 eV per atom
space group: P4/mmm
calculated volume: 34.0 Å³/atom


A plane-wave DFT calculation with GGA-PBE was carried out for a relaxed SrZnAsS2 crystal.

abc: 4.9913 4.9913 4.6668
angles: 90.00 90.00 90.00
Closest atoms and distances in Å follow each position.
Positions (direct):
Sr (0.0000, 0.0000, 0.0000)  8 S 3.42, 4 As 3.53
Zn (0.5000, 0.5000, 0.5000)  2 As 2.33, 4 S 2.50
As (0.5000, 0.5000, 0.0000)  2 Zn 2.33
S (0.0000, 0.5000, 0.5000)  2 Zn 2.50
S (0.5000, 0.0000, 0.5000)  2 Zn 2.50

Results
raw total energy: -17.9 eV for the cell shown
formation energy (no corrections): -0.415 eV per atom
space group: P4/mmm
calculated volume: 23.3 Å³/atom